A plane-wave DFT calculation with PBE was carried out for an optimized crystal structure of Ca2Pb2I.

abc: 9.2585 9.2585 3.9631
angles: 90.00 90.00 90.00
Space group P4/mbm (No. 127)
Inequivalent atoms, fractional coordinates:
Ca: 0.1870 0.3130 0.0000 x4
Pb: 0.1130 0.6130 0.5000 x4
I: 0.0000 0.0000 0.5000 x2

The calculation puts the mass density at 6.1 Mg/m³. The final energy is -31.00 eV for the cell shown. The calculation puts the energy relative to the elements, uncorrected at -0.51 eV per atom.